Computed, not measured: an optimized crystal structure of CeSnTe2N at the PBE-GGA level of DFT.

Summary:
ρ: 6.27 g/cm3
calculated total energy: -5.77 eV/atom
ΔE_f (raw): -0.86 eV per atom
calculated volume: 139.95 Å³/f.u.

```
CeSnTe2N
1.0
4.094 0.000 0.000
0.000 4.094 0.000
0.000 0.000 16.699
Ce Sn Te N
2 2 4 2
Direct
0.250 0.250 0.065
0.750 0.750 0.935
0.250 0.250 0.657
0.750 0.750 0.343
0.250 0.250 0.397
0.250 0.250 0.827
0.750 0.750 0.173
0.750 0.750 0.603
0.250 0.750 0.000
0.750 0.250 0.000
```


Computed, not measured: an optimized crystal structure of Ce2TiSnN5 at the PBE-GGA level of DFT.

Summary:
ρ: 7.18 g/cm3
calculated total energy: -8.23 eV/atom
ΔE_f (raw): -0.96 eV per atom
calculated volume: 119.46 Å³/f.u.

```
Ce2TiSnN5
1.0
1.676 -6.949 0.000
1.676 6.949 0.000
0.000 0.000 10.256
Ce Ti Sn N
4 2 2 10
Direct
0.126 0.874 0.500
0.139 0.861 0.070
0.861 0.139 0.570
0.874 0.126 0.000
0.227 0.773 0.794
0.773 0.227 0.294
0.481 0.519 0.266
0.519 0.481 0.766
0.074 0.926 0.846
0.280 0.720 0.437
0.296 0.704 0.160
0.366 0.634 0.801
0.499 0.501 0.565
0.501 0.499 0.065
0.634 0.366 0.301
0.704 0.296 0.660
0.720 0.280 0.937
0.926 0.074 0.346
```


Computed, not measured: an optimized crystal structure of Ce2YSnN at the PBE-GGA level of DFT.

Summary:
ρ: 7.15 g/cm3
calculated total energy: -7.11 eV/atom
ΔE_f (raw): -0.98 eV per atom
calculated volume: 116.53 Å³/f.u.

```
Ce2YSnN
1.0
4.882 0.000 0.000
0.000 4.882 0.000
0.000 0.000 4.889
Ce Y Sn N
2 1 1 1
Direct
0.000 0.500 0.000
0.500 0.000 0.000
0.000 0.000 0.500
0.500 0.500 0.500
0.000 0.000 0.000
```


Computed, not measured: an optimized crystal structure of CeY2SnN at the PBE-GGA level of DFT.

Summary:
ρ: 6.54 g/cm3
calculated total energy: -7.24 eV/atom
ΔE_f (raw): -1.00 eV per atom
calculated volume: 114.38 Å³/f.u.

```
CeY2SnN
1.0
4.855 0.000 0.000
0.000 4.855 0.000
0.000 0.000 4.853
Ce Y Sn N
1 2 1 1
Direct
0.000 0.000 0.000
0.000 0.500 0.500
0.500 0.000 0.500
0.500 0.500 0.000
0.000 0.000 0.500
```


Computed, not measured: an optimized crystal structure of CeZnSnN at the PBE-GGA level of DFT.

Summary:
ρ: 7.11 g/cm3
calculated total energy: -5.47 eV/atom
ΔE_f (raw): -0.58 eV per atom
calculated volume: 79.00 Å³/f.u.

```
CeZnSnN
1.0
-1.676 1.676 7.034
1.676 -1.676 7.034
1.676 1.676 -7.034
Ce Zn Sn N
1 1 1 1
Direct
0.000 0.000 0.000
0.318 0.318 0.000
0.702 0.702 0.000
0.457 0.457 0.000
```


Computed, not measured: an optimized crystal structure of Ce2ZnSnN5 at the PBE-GGA level of DFT.

Summary:
ρ: 7.57 g/cm3
calculated total energy: -6.97 eV/atom
ΔE_f (raw): -0.44 eV per atom
calculated volume: 117.19 Å³/f.u.

```
Ce2ZnSnN5
1.0
1.699 -6.934 0.000
1.699 6.934 0.000
0.000 0.000 9.947
Ce Zn Sn N
4 2 2 10
Direct
0.116 0.884 0.500
0.130 0.870 0.098
0.870 0.130 0.598
0.884 0.116 0.000
0.488 0.512 0.282
0.512 0.488 0.782
0.207 0.793 0.807
0.793 0.207 0.307
0.055 0.945 0.858
0.290 0.710 0.468
0.302 0.698 0.159
0.362 0.638 0.816
0.497 0.503 0.580
0.503 0.497 0.080
0.638 0.362 0.316
0.698 0.302 0.659
0.710 0.290 0.968
0.945 0.055 0.358
```


Computed, not measured: an optimized crystal structure of Ce2ZrSnN5 at the PBE-GGA level of DFT.

Summary:
ρ: 7.31 g/cm3
calculated total energy: -8.34 eV/atom
ΔE_f (raw): -1.00 eV per atom
calculated volume: 127.30 Å³/f.u.

```
Ce2ZrSnN5
1.0
1.703 -7.047 0.000
1.703 7.047 0.000
0.000 0.000 10.607
Ce Zr Sn N
4 2 2 10
Direct
0.124 0.876 0.500
0.136 0.864 0.072
0.864 0.136 0.572
0.876 0.124 0.000
0.223 0.777 0.796
0.777 0.223 0.296
0.484 0.516 0.271
0.516 0.484 0.771
0.065 0.935 0.856
0.282 0.718 0.446
0.299 0.701 0.159
0.370 0.630 0.818
0.495 0.505 0.577
0.505 0.495 0.077
0.630 0.370 0.318
0.701 0.299 0.659
0.718 0.282 0.946
0.935 0.065 0.356
```


Computed, not measured: an optimized crystal structure of SrCeN2 at the PBE-GGA level of DFT.

Summary:
ρ: 6.18 g/cm3
calculated total energy: -7.03 eV/atom
ΔE_f (raw): -0.96 eV per atom
calculated volume: 68.72 Å³/f.u.

```
SrCeN2
1.0
3.705 0.000 0.000
0.000 3.705 0.000
0.000 0.000 5.006
Sr Ce N
1 1 2
Direct
0.000 0.000 0.000
0.500 0.500 0.500
0.000 0.000 0.500
0.500 0.500 0.000
```